Density functional theory data (meta-GGA SCAN) for a PBEsol-optimized structure of LaSc2Ga2.

Crystal system: tetragonal
Density of states at the Fermi level (states/eV/f.u.): 3.73

a b c (Å): 4.671 4.671 11.129
angles (deg): 90.00 90.00 90.00
Space group I4/mmm (No. 139)
Unique sites:
La1 0.000 0.000 0.000
Sc1 0.000 0.000 0.361
Ga1 0.000 0.500 0.250


Density functional theory data (meta-GGA SCAN) for a PBEsol-optimized structure of La2ScGa2.

Crystal system: tetragonal
Density of states at the Fermi level (states/eV/f.u.): 6.01

a b c (Å): 7.522 7.522 4.562
angles (deg): 90.00 90.00 90.00
Space group P4/mbm (No. 127)
Unique sites:
La1 0.174 0.326 0.000
Sc1 0.000 0.000 0.500
Ga1 0.123 0.623 0.500


Density functional theory data (meta-GGA SCAN) for a PBEsol-optimized structure of LaSc2Ga2.

Crystal system: tetragonal
Density of states at the Fermi level (states/eV/f.u.): 2.89

a b c (Å): 4.374 4.374 12.162
angles (deg): 90.00 90.00 90.00
Space group I4/mmm (No. 139)
Unique sites:
La1 0.000 0.000 0.000
Sc1 0.000 0.500 0.250
Ga1 0.000 0.000 0.398


Density functional theory data (meta-GGA SCAN) for a PBEsol-optimized structure of LaY2ScGa.

Crystal system: tetragonal
Density of states at the Fermi level (states/eV/f.u.): 7.11

a b c (Å): 5.450 5.450 5.187
angles (deg): 90.00 90.00 90.00
Space group P4/mmm (No. 123)
Unique sites:
La1 0.000 0.000 0.000
Y1 0.000 0.500 0.500
Sc1 0.500 0.500 0.000
Ga1 0.500 0.500 0.500


no.,spin magnetization (μB/cell),DFT formation energy (eV/atom)
1,0.00,-0.3447
2,0.00,-0.5751
3,0.00,-0.5894
4,0.00,-0.0223